No. 1
Computed, not measured: crystalline TiCdCu2H at its relaxed geometry at the GGA-PBE level of DFT.

abc: 4.2407 4.2407 3.5908
angles: 90.00 90.00 90.00
Sites, in units of the cell vectors:
Cu: 0.0000 0.5000 0.0000
Cu: 0.5000 0.0000 0.0000
H: 0.0000 0.0000 0.0000
Cd: 0.5000 0.5000 0.5000
Ti: 0.0000 0.0000 0.5000

Values from the calculation:
The value obtained for the total magnetization is 0.00 Bohr magnetons per cell. As for the space-group type: P4/mmm (123). The calculation puts the volume at 64.6 Å³/cell. The value obtained for the calculated total energy is -20.20 eV for the cell shown.

No. 2
Computed, not measured: crystalline B2C at its relaxed geometry at the GGA-PBE level of DFT.

abc: 6.6945 6.6945 5.5669
angles: 86.65 86.65 23.07
Sites, in units of the cell vectors:
B: 0.3035 0.3035 0.9529
B: 0.9658 0.9658 0.0922
B: 0.4562 0.4562 0.3894
B: 0.6859 0.6859 0.6613
B: 0.0965 0.0965 0.6119
B: 0.0870 0.0870 0.1753
B: 0.3040 0.3040 0.3342
B: 0.6885 0.6885 0.1554
C: 0.7520 0.7520 0.8915
C: 0.7535 0.7535 0.4072
C: 0.4020 0.4020 0.1207
C: 0.0051 0.0051 0.4580

Values from the calculation:
The value obtained for the total magnetization is 0.00 Bohr magnetons per cell. As for the space-group type: Cm (8). Its energy relative to the lowest polymorph listed for this composition is 0.154 eV/atom. The formation enthalpy at 0 K is 0.339 eV/atom. The calculation puts the volume at 97.6 Å³/cell.

No. 3
Computed, not measured: crystalline ReHg2P at its relaxed geometry at the GGA-PBE level of DFT.

abc: 4.6758 4.6758 4.6758
angles: 60.00 60.00 60.00
Sites, in units of the cell vectors:
Hg: 0.0000 0.0000 0.0000
Hg: 0.7500 0.7500 0.7500
Re: 0.2500 0.2500 0.2500
P: 0.5000 0.5000 0.5000

Values from the calculation:
The value obtained for the total magnetization is 0.00 Bohr magnetons per cell. As for the space-group type: F-43m (216). The formation enthalpy at 0 K is 1.072 eV/atom. The calculation puts the volume at 72.3 Å³/cell.